(A)
4
Lattice="2.2420 1.2944 7.1502 -2.2420 1.2944 7.1502 0.0000 -2.5889 7.1502" Properties=species:S:1:pos:R:3 comment="Ac2CuCl, relaxed, DFT PBE" density_g_cm3=7.375 dos_ef_per_ev_cell=3.1 crystal_system=trigonal spacegroup="R-3m, No. 166" pbc="T T T"
Ac 0.0000 0.0000 5.2699
Ac 0.0000 0.0000 16.1808
Cu 0.0000 0.0000 10.7253
Cl 0.0000 0.0000 0.0000

***

(B)
4
Lattice="3.6778 0.0000 0.0000 0.0000 3.6778 0.0000 0.0000 0.0000 8.5434" Properties=species:S:1:pos:R:3 comment="Ac2CuCl, relaxed, DFT PBE" density_g_cm3=7.946 dos_ef_per_ev_cell=3.7 crystal_system=tetragonal spacegroup="P4/mmm, No. 123" pbc="T T T"
Ac 0.0000 0.0000 1.9170
Ac 0.0000 0.0000 6.6264
Cu 1.8389 1.8389 0.0000
Cl 1.8389 1.8389 4.2717

***

(C)
4
Lattice="2.1910 1.2650 7.7445 -2.1910 1.2650 7.7445 0.0000 -2.5300 7.7445" Properties=species:S:1:pos:R:3 comment="Ac2CuCl, relaxed, DFT PBE" density_g_cm3=7.130 dos_ef_per_ev_cell=2.6 crystal_system=trigonal spacegroup="R3m, No. 160" pbc="T T T"
Ac 0.0000 0.0000 0.0000
Ac 0.0000 0.0000 4.3665
Cu 0.0000 0.0000 13.8038
Cl 0.0000 0.0000 9.8746

***

Stability, lowest: (B)

***

(A)
8
Lattice="0.0000 4.5297 4.8122 4.3699 0.0000 4.8122 4.3699 4.5297 0.0000" Properties=species:S:1:pos:R:3 comment="AcCl2F, relaxed, DFT PBE" density_g_cm3=5.525 dos_ef_per_ev_cell=0.0 crystal_system=orthorhombic spacegroup="Fmmm, No. 69" pbc="T T T"
Ac 4.3699 1.9527 4.8122
Ac 4.3699 7.1066 4.8122
Cl 2.1849 2.2648 2.4061
Cl 5.9990 4.5297 4.8122
Cl 2.7407 4.5297 4.8122
Cl 6.5548 6.7945 7.2183
F 4.3699 4.5297 1.3614
F 4.3699 4.5297 8.2631

***

(B)
8
Lattice="6.8957 0.0000 0.0000 0.0000 4.3149 0.0000 -2.7302 0.0000 6.8134" Properties=species:S:1:pos:R:3 comment="AcCl2F, relaxed, DFT PBE" density_g_cm3=5.191 dos_ef_per_ev_cell=0.0 crystal_system=monoclinic spacegroup="P2_1/m, No. 11" pbc="T T T"
Ac 0.1446 1.0787 2.2993
Ac 4.0210 3.2362 4.5141
Cl -1.5340 1.0787 6.1952
Cl 2.2788 3.2362 2.0251
Cl 1.8867 1.0787 4.7884
Cl 5.6995 3.2362 0.6182
F -0.5350 3.2362 3.5671
F 4.7005 1.0787 3.2464

***

Stability, lowest: (A)